Density functional theory data (PBE-GGA) for an optimized crystal structure of CsSr2PdSe.

abc: 6.3073 6.3073 5.0751
angles: 90.00 90.00 90.00
Positions (direct):
Cs  0.0000  0.0000  0.0000
Sr  0.0000  0.5000  0.0000
Sr  0.5000  0.0000  0.0000
Pd  0.0000  0.0000  0.5000
Se  0.5000  0.5000  0.5000

* formation energy without anion corrections: 0.626 eV/atom
* electronic total energy: -1.953 eV per atom
* crystal system: tetragonal

***

Density functional theory data (PBE-GGA) for an optimized crystal structure of Mg2FeHg.

abc: 3.1585 3.7711 6.2058
angles: 90.00 90.00 90.00
Positions (direct):
Mg  0.0000  0.0000  0.0000
Mg  0.5000  0.5000  0.2872
Fe  0.0000  0.0000  0.5005
Hg  0.5000  0.5000  0.7445

* ΔE_f: 0.176 eV per atom
* electronic total energy: -2.813 eV per atom
* crystal system: orthorhombic

***

Density functional theory data (PBE-GGA) for an optimized crystal structure of SrLiF2.

abc: 6.9772 6.9772 6.9772
angles: 30.33 30.33 30.33
Positions (direct):
Sr  0.0000  0.0000  0.0000
Li  0.5000  0.5000  0.5000
F  0.1150  0.1150  0.1150
F  0.8850  0.8850  0.8850

* formation energy without anion corrections: -2.451 eV/atom
* electronic total energy: -4.286 eV per atom
* crystal system: trigonal

***

Density functional theory data (PBE-GGA) for an optimized crystal structure of Li14CaAl.

abc: 9.8238 5.9711 5.9711
angles: 69.80 90.00 90.00
Positions (direct):
Li  0.0000  0.0000  0.0000
Li  0.0000  0.4972  0.4972
Li  0.0000  0.5000  0.9949
Li  0.0000  0.9949  0.5000
Li  0.2424  0.2419  0.7219
Li  0.2424  0.7219  0.2419
Li  0.2557  0.2466  0.2466
Li  0.2577  0.7167  0.7167
Li  0.5000  0.4815  0.9833
Li  0.5000  0.9833  0.4815
Li  0.7423  0.7167  0.7167
Li  0.7443  0.2466  0.2466
Li  0.7576  0.2419  0.7219
Li  0.7576  0.7219  0.2419
Ca  0.5000  0.9821  0.9821
Al  0.5000  0.4826  0.4826

* ΔE_f: 0.014 eV per atom
* electronic total energy: -2.019 eV per atom
* crystal system: orthorhombic

***

Question: Look up the electronic total energy of the third one.
Answer: -4.286 eV per atom